A plane-wave DFT calculation with GGA+U was carried out for crystalline FeSiNO2 at its relaxed geometry.

Lattice parameters (Å, degrees): 3.7329 3.7329 3.9345 90.00 90.00 90.00
Closest atoms and distances in Å follow each position.
Fractional coordinates of all 5 atoms:
Fe 0.0000 0.0000 0.0000  4 O 1.87, 2 N 1.97
Si 0.5000 0.5000 0.5000  4 N 2.64, 8 O 2.71
N 0.0000 0.0000 0.5000  2 Fe 1.97
O 0.0000 0.5000 0.0000  2 Fe 1.87
O 0.5000 0.0000 0.0000  2 Fe 1.87

Crystal system: tetragonal
Symmetry: P4/mmm (123)
E_tot (eV/atom): -5.623